Record 1
The following is a PBE calculation of an optimized crystal structure of CdB2Ru, from the Alexandria database.

Final energy in eV per atom: -5.1680

Lattice parameters (Å, degrees): 5.074 5.074 6.127 65.54 65.54 90.00
Element x y z (fractional)
B: 0.375 0.453 0.750
B: 0.547 0.125 0.250
B: 0.203 0.625 0.250
B: 0.875 0.797 0.750
Cd: 0.000 0.000 0.000
Cd: 0.750 0.250 0.500
Ru: 0.250 0.750 0.500
Ru: 0.500 0.500 0.000


Record 2
The following is a PBE calculation of an optimized crystal structure of Cd2BSbRu, from the Alexandria database.

Formation energy without anion corrections in eV per atom: 1.162

Lattice parameters (Å, degrees): 5.228 4.891 5.228 90.00 90.00 90.00
Each line ends with the local moment (μB).
Element x y z (fractional)
Ru: 0.000 0.000 0.000  0.11
Cd: 0.500 0.000 0.000  -0.01
Cd: 0.000 0.000 0.500  0.00
Sb: 0.000 0.500 0.000  -0.01
B: 0.500 0.500 0.500  0.13


Results for total magnetic moment: 0.00, 0.42 (in μB/f.u., following the order of the records).